# TcH2, optimized geometry, DFT PBE
# Magnetic moment = 0.0000 μB/atom
# Energy relative to the lowest polymorph listed for this composition = 5.6 kJ/mol of atoms
# D(E_F) = 2.44 states/eV per cell
data_TcH2
_symmetry_space_group_name_H-M 'P -1'
_symmetry_Int_Tables_number 2
_symmetry_space_group_name_Hall '-P 1'
_cell_length_a 2.907
_cell_length_b 2.908
_cell_length_c 6.208
_cell_angle_alpha 78.54
_cell_angle_beta 76.84
_cell_angle_gamma 89.84
loop_
_atom_site_label
_atom_site_fract_x
_atom_site_fract_y
_atom_site_fract_z
_atom_site_occupancy
Tc1 0.185 0.194 0.134 1
H1 0.096 0.615 0.320 1
H2 0.405 0.881 0.680 1